(1)
VASP calculation (GGA-PBE) on crystalline LaFeCu2Pt at its relaxed geometry.

The structure belongs to space group P4/mmm (No. 123); the cell edges are 4.888, 4.888 and 4.454 Å and the angles 90.00°, 90.00° and 90.00°. The inequivalent atoms are La at (0.000, 0.000, 0.000), Fe at (0.000, 0.000, 0.500), Cu at (0.000, 0.500, 0.000) and Pt at (0.500, 0.500, 0.500).

The value obtained for the energy of formation from the pure elements is 1.5780 eV/atom. For the energy, the calculation gives -3.9466 eV per atom. As for the density of states at the Fermi level: 3.13 states/eV/f.u.


(2)
VASP calculation (GGA-PBE) on crystalline LaFe2CuPt at its relaxed geometry.

The structure belongs to space group P4/mmm (No. 123); the cell edges are 4.409, 4.409 and 5.453 Å and the angles 90.00°, 90.00° and 90.00°. The inequivalent atoms are La at (0.000, 0.000, 0.000), Fe at (0.000, 0.500, 0.500), Cu at (0.000, 0.000, 0.500) and Pt at (0.500, 0.500, 0.000).

The value obtained for the energy of formation from the pure elements is 0.6253 eV/atom. For the energy, the calculation gives -5.7726 eV per atom. As for the density of states at the Fermi level: 6.45 states/eV/f.u.


Please write out number 1 again, unchanged.
VASP calculation (GGA-PBE) on crystalline LaFeCu2Pt at its relaxed geometry.

The structure belongs to space group P4/mmm (No. 123); the cell edges are 4.888, 4.888 and 4.454 Å and the angles 90.00°, 90.00° and 90.00°. The inequivalent atoms are La at (0.000, 0.000, 0.000), Fe at (0.000, 0.000, 0.500), Cu at (0.000, 0.500, 0.000) and Pt at (0.500, 0.500, 0.500).

The value obtained for the energy of formation from the pure elements is 1.5780 eV/atom. For the energy, the calculation gives -3.9466 eV per atom. As for the density of states at the Fermi level: 3.13 states/eV/f.u.